[1]
# LuHfAs2

A relaxed structure of LuHfAs2 (PBE, the Alexandria database).

Unit cell a=6.8414 b=6.8414 c=6.8414 alpha=33.15 beta=33.15 gamma=33.15
Fractional coordinates of all 4 atoms:
Lu1 0.0000 0.0000 0.0000
Hf1 0.5000 0.5000 0.5000
As1 0.2465 0.2465 0.2465
As2 0.7535 0.7535 0.7535

**Space group**: No. 166
**Size of the total moment**: 0.000 μB per atom
**DOS at the Fermi energy**: 1.5 states/eV/f.u.
**E_form**: -1.2205 eV/atom


[2]
# Nd4ErTh

A relaxed structure of Nd4ErTh (PBE, the Alexandria database).

Unit cell a=9.1457 b=9.1457 c=6.3091 alpha=96.30 beta=96.30 gamma=22.92
Fractional coordinates of all 6 atoms:
Nd1 0.1604 0.1604 0.3868
Nd2 0.3367 0.3367 0.1175
Nd3 0.6633 0.6633 0.8825
Nd4 0.8396 0.8396 0.6132
Er1 0.0000 0.0000 0.0000
Th1 0.5000 0.5000 0.5000

**Space group**: No. 12
**Size of the total moment**: 0.000 μB per atom
**DOS at the Fermi energy**: 8.9 states/eV/f.u.
**Distance to the lowest polymorph of the same formula**: 0 meV/atom
**E_form**: 0.0285 eV/atom


Going through the records in order, we get V values of 85.2, 204.2 Å³ per cell.